(1)
The following is a DFT calculation (SCAN) of a PBEsol-optimized structure of Rb2U2O7.

POSCAR file:
```
Rb2U2O7
1.0
7.387 0.000 0.000
0.000 7.974 0.000
-2.203 0.000 6.570
Rb U O
4 4 14
direct
0.008 0.120 0.271 Rb
0.008 0.380 0.771 Rb
0.992 0.620 0.229 Rb
0.992 0.880 0.729 Rb
0.494 0.622 0.723 U
0.494 0.878 0.223 U
0.506 0.122 0.777 U
0.506 0.378 0.277 U
0.226 0.622 0.633 O
0.226 0.878 0.133 O
0.238 0.135 0.689 O
0.238 0.365 0.189 O
0.488 0.638 0.392 O
0.488 0.862 0.892 O
0.500 0.000 0.500 O
0.500 0.500 0.000 O
0.512 0.138 0.108 O
0.512 0.362 0.608 O
0.762 0.635 0.811 O
0.762 0.865 0.311 O
0.774 0.122 0.867 O
0.774 0.378 0.367 O
```

Results
Fermi-level density of states: 0.00 states/eV/atom
Uncorrected energy: -651.3 eV/cell
Energy relative to the elements, uncorrected: -3.05 eV per atom
Space-group type: No. 14
M_tot: 0.00 Bohr magnetons per cell

(2)
The following is a DFT calculation (SCAN) of a PBEsol-optimized structure of Rb3V5O14.

POSCAR file:
```
Rb3V5O14
1.0
8.652 0.000 0.000
-4.326 7.493 0.000
0.000 0.000 5.359
Rb V O
3 5 14
direct
0.000 0.614 0.000 Rb
0.386 0.386 0.000 Rb
0.614 0.000 0.000 Rb
0.000 0.230 0.509 V
0.230 0.000 0.509 V
0.333 0.667 0.525 V
0.667 0.333 0.525 V
0.770 0.770 0.509 V
0.000 0.254 0.211 O
0.000 0.833 0.569 O
0.167 0.167 0.569 O
0.169 0.460 0.636 O
0.254 0.000 0.211 O
0.292 0.831 0.636 O
0.333 0.667 0.220 O
0.460 0.169 0.636 O
0.540 0.708 0.636 O
0.667 0.333 0.220 O
0.708 0.540 0.636 O
0.746 0.746 0.211 O
0.831 0.292 0.636 O
0.833 0.000 0.569 O
```

Results
Fermi-level density of states: 0.00 states/eV/atom
Uncorrected energy: -293.2 eV/cell
Energy relative to the elements, uncorrected: -2.56 eV per atom
Space-group type: No. 157
M_tot: 0.00 Bohr magnetons per cell